# 1
A plane-wave DFT calculation with PBE was carried out for a relaxed CrSi3 crystal.

POSCAR file:
```
CrSi3
1.0
7.508 -0.055 -0.033
6.968 2.796 -0.033
6.968 1.319 2.466
Cr Si
1 3
Direct
0.000 0.000 0.000 Cr
0.746 0.746 0.746 Si
0.500 0.500 0.500 Si
0.254 0.254 0.254 Si
```

Values from the calculation:
**SG**: No. 166
**Formation energy from raw total energies**: 0.19 eV/atom
**Calculated total energy**: -0.2308 hartree per atom



# 2
A plane-wave DFT calculation with PBE was carried out for a relaxed CrSi crystal.

POSCAR file:
```
CrSi
1.0
-0.919 3.146 2.542
-2.273 -8.821 10.094
7.029 0.454 1.980
Cr Si
16 16
Direct
0.000 0.082 0.000 Cr
0.000 0.918 0.000 Cr
0.250 0.668 0.250 Cr
0.250 0.832 0.250 Cr
0.000 0.582 0.500 Cr
0.000 0.418 0.500 Cr
0.250 0.168 0.750 Cr
0.250 0.332 0.750 Cr
0.500 0.082 0.500 Cr
0.500 0.918 0.500 Cr
0.750 0.668 0.750 Cr
0.750 0.832 0.750 Cr
0.500 0.582 0.000 Cr
0.500 0.418 0.000 Cr
0.750 0.168 0.250 Cr
0.750 0.332 0.250 Cr
0.000 0.000 0.665 Si
0.000 0.000 0.335 Si
0.250 0.750 0.585 Si
0.250 0.750 0.915 Si
0.000 0.500 0.165 Si
0.000 0.500 0.835 Si
0.250 0.250 0.085 Si
0.250 0.250 0.415 Si
0.500 0.000 0.165 Si
0.500 0.000 0.835 Si
0.750 0.750 0.085 Si
0.750 0.750 0.415 Si
0.500 0.500 0.665 Si
0.500 0.500 0.335 Si
0.750 0.250 0.585 Si
0.750 0.250 0.915 Si
```

Values from the calculation:
**SG**: No. 70
**Formation energy from raw total energies**: 0.15 eV/atom
**Calculated total energy**: -0.2708 hartree per atom